Record 1
DFT (PBE) results for a geometry-optimized Nd2CuTe3 structure.

Cell: 9.0490 4.3198 17.6029 Å, 90.00 90.00 90.00°
Each line ends with the local moment (μB).
Positions (direct):
Cu (0.1282, 0.2500, 0.8649)  0.01
Cu (0.3718, 0.7500, 0.3649)  0.01
Cu (0.6282, 0.2500, 0.6351)  0.01
Cu (0.8718, 0.7500, 0.1351)  0.01
Te (0.0113, 0.2500, 0.0998)  0.01
Te (0.8954, 0.2500, 0.5742)  0.00
Te (0.9887, 0.7500, 0.9002)  0.01
Te (0.6046, 0.7500, 0.0742)  0.00
Te (0.4887, 0.7500, 0.5998)  0.00
Te (0.2032, 0.2500, 0.7194)  0.00
Te (0.5113, 0.2500, 0.4002)  0.00
Te (0.7968, 0.7500, 0.2806)  0.00
Te (0.1046, 0.7500, 0.4258)  0.00
Te (0.2968, 0.7500, 0.2194)  0.00
Te (0.7032, 0.2500, 0.7806)  0.00
Te (0.3954, 0.2500, 0.9258)  0.00
Nd (0.5615, 0.2500, 0.2110)  0.09
Nd (0.4385, 0.7500, 0.7890)  0.09
Nd (0.7519, 0.2500, 0.9634)  0.17
Nd (0.2519, 0.2500, 0.5366)  0.17
Nd (0.2481, 0.7500, 0.0366)  0.17
Nd (0.0615, 0.2500, 0.2890)  0.09
Nd (0.9385, 0.7500, 0.7110)  0.09
Nd (0.7481, 0.7500, 0.4634)  0.17

Computed properties:
Its space-group type is No. 62. The energy above the lowest structure with this stoichiometry comes out at 0.11 eV per formula unit.

=====

Record 2
DFT (PBE) results for a geometry-optimized MgAgB4 structure.

Cell: 3.0680 3.0680 7.3289 Å, 90.00 90.00 120.00°
Positions (direct):
Mg (0.0000, 0.0000, 0.0000)
B (0.3333, 0.6667, 0.2320)
B (0.6667, 0.3333, 0.2320)
B (0.6667, 0.3333, 0.7680)
B (0.3333, 0.6667, 0.7680)
Ag (0.0000, 0.0000, 0.5000)

Computed properties:
Its space-group type is No. 191. The energy above the lowest structure with this stoichiometry comes out at 0.02 eV per formula unit.

=====

Record 3
DFT (PBE) results for a geometry-optimized YZrAg6 structure.

Cell: 4.9395 6.1637 5.0775 Å, 90.00 90.00 90.00°
Positions (direct):
Zr (0.5000, 0.5000, 0.8453)
Ag (0.0000, 0.5000, 0.1692)
Ag (0.5000, 0.2559, 0.3400)
Ag (0.0000, 0.7358, 0.6653)
Ag (0.0000, 0.2642, 0.6653)
Ag (0.5000, 0.0000, 0.8156)
Ag (0.5000, 0.7441, 0.3400)
Y (0.0000, 0.0000, 0.1593)

Computed properties:
Its space-group type is No. 25. The calculation puts the energy of formation from the pure elements at -156.7 meV per atom.

=====

Record 4
DFT (PBE) results for a geometry-optimized ScBeNiSb structure.

Cell: 4.5090 4.5090 4.5090 Å, 60.00 60.00 60.00°
Positions (direct):
Be (0.2500, 0.2500, 0.2500)
Sc (0.7500, 0.7500, 0.7500)
Sb (0.0000, 0.0000, 0.0000)
Ni (0.5000, 0.5000, 0.5000)

Computed properties:
Its space-group type is No. 216. The energy above the lowest structure with this stoichiometry comes out at 0.50 eV per formula unit.

=====

Record 5
DFT (PBE) results for a geometry-optimized Th2Sb4Au structure.

Cell: 4.4660 4.4660 9.8886 Å, 90.00 90.00 90.00°
Positions (direct):
Sb (0.0000, 0.0000, 0.5000)
Sb (0.0000, 0.5000, 0.1680)
Sb (0.5000, 0.0000, 0.8320)
Sb (0.5000, 0.5000, 0.5000)
Th (0.5000, 0.0000, 0.2477)
Th (0.0000, 0.5000, 0.7523)
Au (0.0000, 0.0000, 0.0000)

Computed properties:
Its space-group type is No. 115. Its total energy is -5.684 eV/atom.

=====

Record 6
DFT (PBE) results for a geometry-optimized CdCoSnPt structure.

Cell: 4.5718 4.5718 4.5718 Å, 60.00 60.00 60.00°
Each line ends with the local moment (μB).
Positions (direct):
Sn (0.0000, 0.0000, 0.0000)  0.00
Co (0.7500, 0.7500, 0.7500)  1.25
Pt (0.2500, 0.2500, 0.2500)  0.11
Cd (0.5000, 0.5000, 0.5000)  -0.01

Computed properties:
Its space-group type is No. 216. The energy above the lowest structure with this stoichiometry comes out at 0.00 eV per formula unit.

=====

Record 7
DFT (PBE) results for a geometry-optimized NaErTl structure.

Cell: 5.1302 5.1302 5.1302 Å, 60.00 60.00 60.00°
Positions (direct):
Tl (0.0000, 0.0000, 0.0000)
Er (0.2500, 0.2500, 0.2500)
Na (0.7500, 0.7500, 0.7500)

Computed properties:
Its space-group type is No. 216. The energy above the lowest structure with this stoichiometry comes out at 0.00 eV per formula unit.

=====

Record 8
DFT (PBE) results for a geometry-optimized Zr2BeAg structure.

Cell: 4.7019 4.7019 4.7019 Å, 60.00 60.00 60.00°
Each line ends with the local moment (μB).
Positions (direct):
Zr (0.7500, 0.7500, 0.7500)  1.18
Zr (0.0000, 0.0000, 0.0000)  0.96
Be (0.5000, 0.5000, 0.5000)  -0.01
Ag (0.2500, 0.2500, 0.2500)  0.09

Computed properties:
Its space-group type is No. 216. Its total energy is -5.497 eV/atom.

=====

Record 9
DFT (PBE) results for a geometry-optimized PrSbPO structure.

Cell: 5.6576 5.6576 5.2056 Å, 90.00 90.00 90.00°
Positions (direct):
P (0.7500, 0.7500, 0.5027)
P (0.2500, 0.2500, 0.4973)
Pr (0.2500, 0.7500, 0.5000)
Pr (0.7500, 0.2500, 0.5000)
O (0.2500, 0.7500, 0.0000)
O (0.7500, 0.2500, 0.0000)
Sb (0.2500, 0.2500, 0.9966)
Sb (0.7500, 0.7500, 0.0034)

Computed properties:
Its space-group type is No. 129. The energy above the lowest structure with this stoichiometry comes out at 1.43 eV per formula unit.

=====

Record 10
DFT (PBE) results for a geometry-optimized GdCuSe2 structure.

Cell: 6.4877 7.1862 7.3829 Å, 90.00 90.00 96.18°
Positions (direct):
Se (0.5730, 0.4984, 0.7240)
Se (0.8954, 0.2202, 0.3890)
Se (0.4270, 0.0016, 0.2240)
Se (0.1046, 0.2798, 0.8890)
Se (0.1046, 0.7798, 0.6110)
Se (0.4270, 0.5016, 0.2760)
Se (0.5730, 0.9984, 0.7760)
Se (0.8954, 0.7202, 0.1110)
Gd (0.6925, 0.7983, 0.4596)
Gd (0.3075, 0.7017, 0.9596)
Gd (0.3075, 0.2017, 0.5404)
Gd (0.6925, 0.2983, 0.0404)
Cu (0.0681, 0.5462, 0.3400)
Cu (0.9319, 0.4538, 0.6600)
Cu (0.0681, 0.0462, 0.1600)
Cu (0.9319, 0.9538, 0.8400)

Computed properties:
Its space-group type is No. 14. Its total energy is -5.068 eV/atom.

=====

Record 11
DFT (PBE) results for a geometry-optimized ErAl9Ni3 structure.

Cell: 7.2698 7.2698 10.0396 Å, 90.00 68.77 120.00°
Positions (direct):
Al (0.3340, 0.0000, 0.0000)
Al (0.5359, 0.4329, 0.7012)
Al (0.8042, 0.5671, 0.2988)
Al (0.4359, 0.7180, 0.8461)
Al (0.0000, 0.7095, 0.5000)
Al (0.2095, 0.5000, 0.5000)
Al (0.6660, 0.6660, 0.0000)
Al (0.5641, 0.2820, 0.1539)
Al (0.8963, 0.9482, 0.1555)
Al (0.1958, 0.7629, 0.7012)
Al (0.2261, 0.6131, 0.1608)
Al (0.0000, 0.3340, 0.0000)
Al (0.7905, 0.2905, 0.5000)
Al (0.4641, 0.8970, 0.2988)
Al (0.1341, 0.2371, 0.2988)
Al (0.8659, 0.1030, 0.7012)
Al (0.1037, 0.0518, 0.8445)
Al (0.7739, 0.3869, 0.8392)
Er (0.3337, 0.1669, 0.4994)
Er (0.6663, 0.8331, 0.5006)
Ni (0.1769, 0.4184, 0.7447)
Ni (0.1631, 0.9216, 0.2553)
Ni (0.8231, 0.2415, 0.2553)
Ni (0.5032, 0.5816, 0.2553)
Ni (0.8369, 0.7585, 0.7447)
Ni (0.4968, 0.0784, 0.7447)

Computed properties:
Its space-group type is No. 155. Its total energy is -4.751 eV/atom.

=====

Record 12
DFT (PBE) results for a geometry-optimized SmGdHo2Ga2 structure.

Cell: 5.1892 5.1892 6.6096 Å, 90.00 90.00 120.00°
Positions (direct):
Gd (0.0000, 0.0000, 0.0000)
Ho (0.6667, 0.3333, 0.2488)
Ho (0.6667, 0.3333, 0.7512)
Ga (0.3333, 0.6667, 0.0000)
Ga (0.0000, 0.0000, 0.5000)
Sm (0.3333, 0.6667, 0.5000)

Computed properties:
Its space-group type is No. 187. Its total energy is -4.486 eV/atom.

=====

Record 13
DFT (PBE) results for a geometry-optimized Dy2ErTm2Lu2Ni2Te2 structure.

Cell: 9.2670 9.2670 9.2670 Å, 156.11 67.14 118.31°
Positions (direct):
Tm (0.0832, 0.7294, 0.3538)
Tm (0.3757, 0.7294, 0.6462)
Dy (0.6912, 0.3765, 0.3147)
Dy (0.0618, 0.3765, 0.6853)
Lu (0.4478, 0.5823, 0.8655)
Lu (0.7167, 0.5823, 0.1345)
Er (0.0006, 0.0006, 0.0000)
Te (0.3396, 0.3396, 0.0000)
Te (0.7325, 0.2325, 0.5000)
Ni (0.3060, 0.0695, 0.2365)
Ni (0.8330, 0.0695, 0.7635)

Computed properties:
Its space-group type is No. 44. The energy above the lowest structure with this stoichiometry comes out at 0.17 eV per formula unit.

=====

Record 14
DFT (PBE) results for a geometry-optimized Sc2ZnIr structure.

Cell: 6.6034 6.4355 6.6021 Å, 90.00 90.00 90.00°
Positions (direct):
Ir (0.4997, 0.7500, 0.0000)
Ir (0.0003, 0.7500, 0.5000)
Ir (0.9997, 0.2500, 0.5000)
Ir (0.5003, 0.2500, 0.0000)
Sc (0.2501, 0.0003, 0.2499)
Sc (0.2501, 0.4997, 0.2499)
Sc (0.2499, 0.4997, 0.7499)
Sc (0.7499, 0.5003, 0.7501)
Sc (0.2499, 0.0003, 0.7499)
Sc (0.7501, 0.9997, 0.2501)
Sc (0.7499, 0.9997, 0.7501)
Sc (0.7501, 0.5003, 0.2501)
Zn (0.9993, 0.2500, 0.0000)
Zn (0.0007, 0.7500, 0.0000)
Zn (0.5007, 0.2500, 0.5000)
Zn (0.4993, 0.7500, 0.5000)

Computed properties:
Its space-group type is No. 74. The energy above the lowest structure with this stoichiometry comes out at 0.05 eV per formula unit. The calculation puts the energy of formation from the pure elements at -714.3 meV per atom.